Record 1
Compound: ZnW
Source: the Open Quantum Materials Database
Functional: GGA-PBE
Structure: optimized geometry

Properties
E_tot = -6.890 eV per atom
Energy relative to the lowest polymorph listed for this composition = 0 meV per atom
Energy of formation = 0.4 eV per formula unit

Cell: 5.562 4.571 7.436 Å, 90.00 100.75 90.00°
Space group P2_1/m (No. 11)
Inequivalent atoms, fractional coordinates:
Zn: 0.060 0.250 0.230 (multiplicity 2)
Zn: 0.116 0.750 0.442 (multiplicity 2)
Zn: 0.390 0.250 0.549 (multiplicity 2)
W: 0.231 0.250 0.891 (multiplicity 2)
W: 0.290 0.750 0.103 (multiplicity 2)
W: 0.443 0.750 0.786 (multiplicity 2)

Record 2
Compound: KRe3Ge5
Source: the Open Quantum Materials Database
Functional: GGA-PBE
Structure: optimized geometry

Properties
E_tot = -6.638 eV per atom

Cell: 5.2484 5.2484 8.3917 Å, 90.00 90.00 120.00°
Space group P6/mmm (No. 191)
Inequivalent atoms, fractional coordinates:
K: 0.0000 0.0000 0.0000 (multiplicity 1)
Re: 0.0000 0.5000 0.5000 (multiplicity 3)
Ge: 0.0000 0.0000 0.5000 (multiplicity 1)
Ge: 0.3333 0.6667 0.2338 (multiplicity 4)

Record 3
Compound: NbSiB
Source: the Open Quantum Materials Database
Functional: GGA-PBE
Structure: optimized geometry

Properties
E_tot = -6.484 eV per atom
Energy relative to the lowest polymorph listed for this composition = 601 meV per atom

Cell: 5.575 5.575 5.575 Å, 90.00 90.00 90.00°
Space group F-43m (No. 216)
Inequivalent atoms, fractional coordinates:
Nb: 0.000 0.000 0.000 (multiplicity 4)
Si: 0.250 0.250 0.750 (multiplicity 4)
B: 0.000 0.000 0.500 (multiplicity 4)

Record 4
Compound: CsRbPt
Source: the Open Quantum Materials Database
Functional: GGA-PBE
Structure: optimized geometry

Properties
E_tot = -2.380 eV per atom
Energy relative to the lowest polymorph listed for this composition = 28 meV per atom

Cell: 7.953 7.953 7.953 Å, 90.00 90.00 90.00°
Space group F-43m (No. 216)
Inequivalent atoms, fractional coordinates:
Cs: 0.000 0.000 0.000 (multiplicity 4)
Rb: 0.250 0.250 0.250 (multiplicity 4)
Pt: 0.250 0.250 0.750 (multiplicity 4)

Record 5
Compound: InIrAu3S4
Source: the Open Quantum Materials Database
Functional: GGA-PBE
Structure: optimized geometry

Properties
E_tot = -3.965 eV per atom

Cell: 6.054 6.054 6.054 Å, 90.00 90.00 90.00°
Space group P-43m (No. 215)
Inequivalent atoms, fractional coordinates:
In: 0.000 0.000 0.000 (multiplicity 1)
Ir: 0.500 0.500 0.500 (multiplicity 1)
Au: 0.000 0.500 0.500 (multiplicity 3)
S: 0.274 0.274 0.274 (multiplicity 4)

Record 6
Compound: YScInNi
Source: the Open Quantum Materials Database
Functional: GGA-PBE
Structure: optimized geometry

Properties
E_tot = -5.420 eV per atom

Cell: 6.876 6.876 6.876 Å, 90.00 90.00 90.00°
Space group F-43m (No. 216)
Inequivalent atoms, fractional coordinates:
Y: 0.000 0.000 0.000 (multiplicity 4)
Sc: 0.250 0.250 0.250 (multiplicity 4)
In: 0.000 0.000 0.500 (multiplicity 4)
Ni: 0.250 0.250 0.750 (multiplicity 4)

Record 7
Compound: BaGdTm
Source: the Open Quantum Materials Database
Functional: GGA-PBE
Structure: optimized geometry

Properties
E_tot = -2.866 eV per atom

Cell: 8.163 8.163 8.163 Å, 90.00 90.00 90.00°
Space group F-43m (No. 216)
Inequivalent atoms, fractional coordinates:
Ba: 0.000 0.000 0.000 (multiplicity 4)
Gd: 0.000 0.000 0.500 (multiplicity 4)
Tm: 0.250 0.250 0.250 (multiplicity 4)

Record 8
Compound: Li2TaNbGa2Pd2
Source: the Open Quantum Materials Database
Functional: GGA-PBE
Structure: optimized geometry

Properties
E_tot = -5.453 eV per atom

Cell: 4.394 4.394 6.234 Å, 90.00 90.00 90.00°
Space group P-4m2 (No. 115)
Inequivalent atoms, fractional coordinates:
Li: 0.000 0.500 0.248 (multiplicity 2)
Ta: 0.000 0.000 0.500 (multiplicity 1)
Nb: 0.500 0.500 0.000 (multiplicity 1)
Ga: 0.000 0.000 0.000 (multiplicity 1)
Ga: 0.500 0.500 0.500 (multiplicity 1)
Pd: 0.000 0.500 0.735 (multiplicity 2)

Record 9
Compound: SnBPt
Source: the Open Quantum Materials Database
Functional: GGA-PBE
Structure: optimized geometry

Properties
E_tot = -5.143 eV per atom
Energy relative to the lowest polymorph listed for this composition = 0 meV per atom

Cell: 5.729 5.729 5.729 Å, 90.00 90.00 90.00°
Space group F-43m (No. 216)
Inequivalent atoms, fractional coordinates:
Sn: 0.000 0.000 0.000 (multiplicity 4)
B: 0.250 0.250 0.750 (multiplicity 4)
Pt: 0.000 0.000 0.500 (multiplicity 4)

Record 10
Compound: Dy3Lu3SbTeOs
Source: the Open Quantum Materials Database
Functional: GGA-PBE
Structure: optimized geometry

Properties
E_tot = -5.828 eV per atom

Cell: 8.1326 8.1326 4.1308 Å, 90.00 90.00 120.00°
Space group P-6 (No. 174)
Inequivalent atoms, fractional coordinates:
Dy: 0.0042 0.6134 0.0000 (multiplicity 3)
Lu: 0.0008 0.2345 0.5000 (multiplicity 3)
Sb: 0.3333 0.6667 0.5000 (multiplicity 1)
Te: 0.6667 0.3333 0.5000 (multiplicity 1)
Os: 0.0000 0.0000 0.0000 (multiplicity 1)

Record 11
Compound: GdC
Source: the Open Quantum Materials Database
Functional: GGA-PBE
Structure: optimized geometry

Properties
E_tot = -6.461 eV per atom

Cell: 5.493 5.493 5.493 Å, 90.00 90.00 90.00°
Space group F-43m (No. 216)
Inequivalent atoms, fractional coordinates:
Gd: 0.000 0.000 0.000 (multiplicity 4)
C: 0.250 0.250 0.250 (multiplicity 4)

Record 12
Compound: Na3Sr2SmPb3
Source: the Open Quantum Materials Database
Functional: GGA-PBE
Structure: optimized geometry

Properties
E_tot = -2.903 eV per atom

Cell: 5.2956 5.2956 11.7294 Å, 90.00 90.00 120.00°
Space group P-6m2 (No. 187)
Inequivalent atoms, fractional coordinates:
Na: 0.0000 0.0000 0.0000 (multiplicity 1)
Na: 0.3333 0.6667 0.3168 (multiplicity 2)
Sr: 0.6667 0.3333 0.1649 (multiplicity 2)
Sm: 0.6667 0.3333 0.5000 (multiplicity 1)
Pb: 0.0000 0.0000 0.3633 (multiplicity 2)
Pb: 0.3333 0.6667 0.0000 (multiplicity 1)

Record 13
Compound: LuMg2Ni
Source: the Open Quantum Materials Database
Functional: GGA-PBE
Structure: optimized geometry

Properties
E_tot = -3.375 eV per atom

Cell: 6.738 6.738 6.738 Å, 90.00 90.00 90.00°
Space group F-43m (No. 216)
Inequivalent atoms, fractional coordinates:
Lu: 0.000 0.000 0.000 (multiplicity 4)
Mg: 0.000 0.000 0.500 (multiplicity 4)
Mg: 0.250 0.250 0.750 (multiplicity 4)
Ni: 0.250 0.250 0.250 (multiplicity 4)

Record 14
Compound: GdAlNiPd
Source: the Open Quantum Materials Database
Functional: GGA-PBE
Structure: optimized geometry

Properties
E_tot = -5.520 eV per atom
Energy relative to the lowest polymorph listed for this composition = 7 meV per atom

Cell: 4.2692 4.2692 9.1725 Å, 90.00 90.00 120.00°
Space group P-6m2 (No. 187)
Inequivalent atoms, fractional coordinates:
Gd: 0.0000 0.0000 0.0000 (multiplicity 1)
Gd: 0.3333 0.6667 0.5000 (multiplicity 1)
Al: 0.6667 0.3333 0.2607 (multiplicity 2)
Ni: 0.0000 0.0000 0.3180 (multiplicity 2)
Pd: 0.3333 0.6667 0.1784 (multiplicity 2)

Record 15
Compound: PmAgSeO
Source: the Open Quantum Materials Database
Functional: GGA-PBE
Structure: optimized geometry

Properties
E_tot = -5.933 eV per atom
Energy relative to the lowest polymorph listed for this composition = 0 meV per atom

Cell: 5.711 9.429 5.715 Å, 90.00 90.00 90.00°
Space group Pcca (No. 54)
Inequivalent atoms, fractional coordinates:
Pm: 0.000 0.123 0.250 (multiplicity 4)
Ag: 0.250 0.500 0.028 (multiplicity 4)
Se: 0.000 0.295 0.750 (multiplicity 4)
O: 0.250 0.000 0.000 (multiplicity 4)

Record 16
Compound: TaBeAgPd
Source: the Open Quantum Materials Database
Functional: GGA-PBE
Structure: optimized geometry

Properties
E_tot = -5.674 eV per atom
Energy relative to the lowest polymorph listed for this composition = 113 meV per atom

Cell: 6.192 6.192 6.192 Å, 90.00 90.00 90.00°
Space group F-43m (No. 216)
Inequivalent atoms, fractional coordinates:
Ta: 0.000 0.000 0.000 (multiplicity 4)
Be: 0.250 0.250 0.250 (multiplicity 4)
Ag: 0.250 0.250 0.750 (multiplicity 4)
Pd: 0.000 0.000 0.500 (multiplicity 4)

Record 17
Compound: LaTcAsO
Source: the Open Quantum Materials Database
Functional: GGA-PBE
Structure: optimized geometry

Properties
E_tot = -7.396 eV per atom
Energy relative to the lowest polymorph listed for this composition = 640 meV per atom

Cell: 6.170 4.384 6.377 Å, 90.00 90.05 90.00°
Space group Pm (No. 6)
Inequivalent atoms, fractional coordinates:
La: 0.000 0.000 0.000 (multiplicity 1)
La: 0.500 0.000 0.468 (multiplicity 1)
Tc: 0.108 0.500 0.629 (multiplicity 1)
Tc: 0.608 0.500 0.840 (multiplicity 1)
As: 0.000 0.000 0.484 (multiplicity 1)
As: 0.500 0.000 0.984 (multiplicity 1)
O: 0.429 0.500 0.575 (multiplicity 1)
O: 0.929 0.500 0.894 (multiplicity 1)

Record 18
Compound: LaAg3Sn4O12
Source: the Open Quantum Materials Database
Functional: GGA-PBE
Structure: optimized geometry

Properties
E_tot = -5.829 eV per atom

Cell: 7.939 7.939 7.939 Å, 90.00 90.00 90.00°
Space group Im-3 (No. 204)
Inequivalent atoms, fractional coordinates:
La: 0.000 0.000 0.000 (multiplicity 2)
Ag: 0.000 0.000 0.500 (multiplicity 6)
Sn: 0.250 0.250 0.250 (multiplicity 8)
O: 0.000 0.183 0.285 (multiplicity 24)

Record 19
Compound: CsPdAuSe2S
Source: the Open Quantum Materials Database
Functional: GGA-PBE
Structure: optimized geometry

Properties
E_tot = -3.702 eV per atom

Cell: 4.185 14.623 11.135 Å, 90.00 90.00 90.00°
Space group Cmcm (No. 63)
Inequivalent atoms, fractional coordinates:
Cs: 0.000 0.223 0.250 (multiplicity 4)
Pd: 0.000 0.500 0.000 (multiplicity 4)
Au: 0.000 0.069 0.750 (multiplicity 4)
Se: 0.000 0.103 0.529 (multiplicity 8)
S: 0.000 0.485 0.750 (multiplicity 4)

Record 20
Compound: Cs2CuNiBr6
Source: the Open Quantum Materials Database
Functional: GGA-PBE
Structure: optimized geometry

Properties
E_tot = -2.976 eV per atom

Cell: 10.451 10.451 10.451 Å, 90.00 90.00 90.00°
Space group Fm-3m (No. 225)
Inequivalent atoms, fractional coordinates:
Cs: 0.250 0.250 0.250 (multiplicity 8)
Cu: 0.000 0.000 0.000 (multiplicity 4)
Ni: 0.000 0.000 0.500 (multiplicity 4)
Br: 0.000 0.000 0.255 (multiplicity 24)

Record 21
Compound: BaDyAuS3
Source: the Open Quantum Materials Database
Functional: GGA-PBE
Structure: optimized geometry

Properties
E_tot = -5.258 eV per atom

Cell: 8.104 4.093 9.560 Å, 90.00 106.85 90.00°
Space group P2_1/m (No. 11)
Inequivalent atoms, fractional coordinates:
Ba: 0.233 0.250 0.271 (multiplicity 2)
Dy: 0.315 0.750 0.843 (multiplicity 2)
Au: 0.117 0.250 0.595 (multiplicity 2)
S: 0.085 0.250 0.851 (multiplicity 2)
S: 0.281 0.750 0.545 (multiplicity 2)
S: 0.444 0.750 0.139 (multiplicity 2)

Record 22
Compound: Cd2InSe3
Source: the Open Quantum Materials Database
Functional: GGA-PBE
Structure: optimized geometry

Properties
E_tot = -3.007 eV per atom

Cell: 7.674 13.358 7.757 Å, 90.00 109.70 90.00°
Space group Cc (No. 9)
Inequivalent atoms, fractional coordinates:
Cd: 0.000 0.081 0.000 (multiplicity 4)
Cd: 0.002 0.249 0.499 (multiplicity 4)
In: 0.003 0.411 0.000 (multiplicity 4)
Se: 0.121 0.084 0.371 (multiplicity 4)
Se: 0.125 0.417 0.380 (multiplicity 4)
Se: 0.129 0.242 0.870 (multiplicity 4)

Record 23
Compound: NbHgNO
Source: the Open Quantum Materials Database
Functional: GGA-PBE
Structure: optimized geometry

Properties
E_tot = -5.921 eV per atom
Energy relative to the lowest polymorph listed for this composition = 974 meV per atom

Cell: 3.768 3.768 7.696 Å, 90.00 90.00 90.00°
Space group P4/nmm (No. 129, origin choice 2)
Inequivalent atoms, fractional coordinates:
Nb: 0.250 0.250 0.119 (multiplicity 2)
Hg: 0.250 0.750 0.500 (multiplicity 2)
N: 0.250 0.250 0.811 (multiplicity 2)
O: 0.250 0.750 0.000 (multiplicity 2)